1.
A plane-wave DFT calculation with PBE-GGA was carried out for crystalline InNi2H at its relaxed geometry.

The calculation puts the spin magnetization at 0.00 μB per atom. As for the calculated total energy: -61.55 eV/cell.

Unit cell a=5.864 b=5.864 c=5.864 alpha=90.00 beta=90.00 gamma=90.00
Space group Fm-3m (No. 225)
Inequivalent atoms, fractional coordinates:
In 0.000 0.000 0.000 (multiplicity 4)
Ni 0.250 0.250 0.250 (multiplicity 8)
H 0.000 0.000 0.500 (multiplicity 4)

=====

2.
A plane-wave DFT calculation with PBE-GGA was carried out for crystalline In2NiH at its relaxed geometry.

The calculation puts the spin magnetization at 0.00 μB per atom. As for the calculated total energy: -52.59 eV/cell.

Unit cell a=6.294 b=6.294 c=6.294 alpha=90.00 beta=90.00 gamma=90.00
Space group Fm-3m (No. 225)
Inequivalent atoms, fractional coordinates:
In 0.250 0.250 0.250 (multiplicity 8)
Ni 0.000 0.000 0.000 (multiplicity 4)
H 0.000 0.000 0.500 (multiplicity 4)

=====

3.
A plane-wave DFT calculation with PBE-GGA was carried out for crystalline InNi3H at its relaxed geometry.

The calculation puts the spin magnetization at 0.00 μB per atom. As for the calculated total energy: -91.22 eV/cell.

Unit cell a=4.945 b=4.945 c=9.577 alpha=90.00 beta=90.00 gamma=90.00
Space group I-4m2 (No. 119)
Inequivalent atoms, fractional coordinates:
In 0.000 0.000 0.156 (multiplicity 4)
Ni 0.000 0.257 0.392 (multiplicity 8)
Ni 0.000 0.500 0.619 (multiplicity 4)
H 0.000 0.000 0.500 (multiplicity 2)
H 0.000 0.500 0.250 (multiplicity 2)

=====

4.
A plane-wave DFT calculation with PBE-GGA was carried out for crystalline In3NiH at its relaxed geometry.

The calculation puts the spin magnetization at 0.00 μB per atom. As for the calculated total energy: -16.02 eV/cell.

Unit cell a=4.931 b=4.931 c=4.931 alpha=90.00 beta=90.00 gamma=90.00
Space group Pm-3m (No. 221)
Inequivalent atoms, fractional coordinates:
In 0.000 0.000 0.500 (multiplicity 3)
Ni 0.000 0.000 0.000 (multiplicity 1)
H 0.500 0.500 0.500 (multiplicity 1)

=====

5.
A plane-wave DFT calculation with PBE-GGA was carried out for crystalline InNi3H at its relaxed geometry.

The calculation puts the spin magnetization at 0.00 μB per atom. As for the calculated total energy: -374.58 eV/cell.

Unit cell a=9.855 b=9.855 c=9.855 alpha=90.00 beta=90.00 gamma=90.00
Space group Fd-3m (No. 227, origin choice 2)
Inequivalent atoms, fractional coordinates:
In 0.000 0.000 0.000 (multiplicity 16)
Ni 0.057 0.375 0.875 (multiplicity 48)
H 0.000 0.000 0.500 (multiplicity 16)

=====

6.
A plane-wave DFT calculation with PBE-GGA was carried out for crystalline InNiH2 at its relaxed geometry.

The calculation puts the spin magnetization at 0.00 μB per atom. As for the calculated total energy: -57.98 eV/cell.

Unit cell a=4.648 b=4.648 c=8.420 alpha=90.00 beta=90.00 gamma=90.00
Space group I-42d (No. 122)
Inequivalent atoms, fractional coordinates:
In 0.000 0.000 0.000 (multiplicity 4)
Ni 0.000 0.000 0.500 (multiplicity 4)
H 0.059 0.250 0.625 (multiplicity 8)

=====

7.
A plane-wave DFT calculation with PBE-GGA was carried out for crystalline InNi3H at its relaxed geometry.

The calculation puts the spin magnetization at 0.00 μB per atom. As for the calculated total energy: -188.72 eV/cell.

Unit cell a=10.748 b=9.334 c=4.455 alpha=90.00 beta=90.33 gamma=90.00
Space group C2/c (No. 15)
Inequivalent atoms, fractional coordinates:
In 0.000 0.150 0.250 (multiplicity 4)
In 0.000 0.350 0.750 (multiplicity 4)
Ni 0.131 0.083 0.762 (multiplicity 8)
Ni 0.132 0.417 0.240 (multiplicity 8)
Ni 0.250 0.164 0.236 (multiplicity 8)
H 0.249 0.168 0.614 (multiplicity 8)

=====

8.
A plane-wave DFT calculation with PBE-GGA was carried out for crystalline In3Ni9H2 at its relaxed geometry.

The calculation puts the spin magnetization at 0.00 μB per atom. As for the calculated total energy: -68.71 eV/cell.

Unit cell a=5.3197 b=5.3197 c=6.5224 alpha=90.00 beta=90.00 gamma=120.00
Space group P-3m1 (No. 164)
Inequivalent atoms, fractional coordinates:
In 0.0000 0.0000 0.0000 (multiplicity 1)
In 0.3333 0.6667 0.3351 (multiplicity 2)
Ni 0.0000 0.5000 0.0000 (multiplicity 3)
Ni 0.1644 0.3288 0.6651 (multiplicity 6)
H 0.3333 0.6667 0.8271 (multiplicity 2)

=====

What did the seventh record say?
A plane-wave DFT calculation with PBE-GGA was carried out for crystalline InNi3H at its relaxed geometry.

The calculation puts the spin magnetization at 0.00 μB per atom. As for the calculated total energy: -188.72 eV/cell.

Unit cell a=10.748 b=9.334 c=4.455 alpha=90.00 beta=90.33 gamma=90.00
Space group C2/c (No. 15)
Inequivalent atoms, fractional coordinates:
In 0.000 0.150 0.250 (multiplicity 4)
In 0.000 0.350 0.750 (multiplicity 4)
Ni 0.131 0.083 0.762 (multiplicity 8)
Ni 0.132 0.417 0.240 (multiplicity 8)
Ni 0.250 0.164 0.236 (multiplicity 8)
H 0.249 0.168 0.614 (multiplicity 8)